The following is a DFT calculation (PBE) of a relaxed KTi2BiO6 crystal.

Lattice parameters (Å, degrees): 6.2358 7.7198 7.7198 86.00 77.44 77.44
Closest atoms and distances in Å follow each position.
Fractional positions:
O (0.1232, 0.6025, 0.1575)  1 Ti 1.77
O (0.1860, 0.0229, 0.7432)  1 Ti 1.84
O (0.6232, 0.1575, 0.6025)  1 Ti 1.77
O (0.3768, 0.8425, 0.3975)  1 Ti 1.77
O (0.6860, 0.7432, 0.0229)  1 Ti 1.84
K (0.7500, 0.0915, 0.9085)  6 O 2.63-2.85
Bi (0.2500, 0.2870, 0.7130)  4 O 2.15-2.32
Ti (0.7251, 0.1896, 0.3729)  4 O 1.77-1.89
O (0.8140, 0.9771, 0.2568)  1 Ti 1.84
O (0.3140, 0.2568, 0.9771)  1 Ti 1.84
Bi (0.7500, 0.7130, 0.2870)  4 O 2.15-2.32
Ti (0.2251, 0.3729, 0.1896)  4 O 1.77-1.89
O (0.9768, 0.2972, 0.3270)  2 Ti 1.86-1.89
O (0.4768, 0.3270, 0.2972)  2 Ti 1.86-1.89
K (0.2500, 0.9085, 0.0915)  6 O 2.63-2.85
Ti (0.2749, 0.8104, 0.6271)  4 O 1.77-1.89
O (0.0232, 0.7028, 0.6730)  2 Ti 1.86-1.89
O (0.8768, 0.3975, 0.8425)  1 Ti 1.77
Ti (0.7749, 0.6271, 0.8104)  4 O 1.77-1.89
O (0.5232, 0.6730, 0.7028)  2 Ti 1.86-1.89

Computed properties:
Its total magnetization is 0.0 Bohr magnetons per cell. The formation energy (no corrections) comes out at -2.421 eV/atom. The calculation puts the density at 4.13 g/cm³.